# 1
Material: LaCdOs2
Method: DFT, PBEsol
State: optimized geometry

Calculated values
**D(E_F)**: 1.3158 states/eV/atom
**E_tot**: -7.131 eV per atom
**Energy of formation from the pure elements**: 0.61 eV per atom

Lattice parameters (Å, degrees): 4.2529 4.2529 4.1099 90.00 90.00 90.00
Space group P4/mmm (No. 123)
Unique sites:
La: 0.0000 0.0000 0.0000 (multiplicity 1)
Cd: 0.5000 0.5000 0.0000 (multiplicity 1)
Os: 0.0000 0.5000 0.5000 (multiplicity 2)

# 2
Material: LiLaAg4
Method: DFT, PBEsol
State: optimized geometry

Calculated values
**D(E_F)**: 0.6237 states/eV/atom
**E_tot**: -3.627 eV per atom
**Energy of formation from the pure elements**: -0.20 eV per atom

Lattice parameters (Å, degrees): 7.8511 7.8511 7.8511 90.00 90.00 90.00
Space group F-43m (No. 216)
Unique sites:
Li: 0.0000 0.0000 0.0000 (multiplicity 4)
La: 0.2500 0.2500 0.7500 (multiplicity 4)
Ag: 0.1261 0.1261 0.3739 (multiplicity 16)

# 3
Material: RbMnTc3
Method: DFT, PBEsol
State: optimized geometry

Calculated values
**D(E_F)**: 1.2008 states/eV/atom
**E_tot**: -5.596 eV per atom
**Energy of formation from the pure elements**: 3.32 eV per atom

Lattice parameters (Å, degrees): 4.5553 4.5553 4.5553 90.00 90.00 90.00
Space group Pm-3m (No. 221)
Unique sites:
Rb: 0.0000 0.0000 0.0000 (multiplicity 1)
Mn: 0.5000 0.5000 0.5000 (multiplicity 1)
Tc: 0.0000 0.0000 0.5000 (multiplicity 3)

# 4
Material: CoAs2Br
Method: DFT, PBEsol
State: optimized geometry

Calculated values
**Formation energy (no corrections)**: -0.006 eV per atom
**Energy relative to the lowest polymorph listed for this composition**: 0.4 kJ/mol of atoms
**D(E_F)**: 0.6572 states/eV/atom
**E_tot**: -4.961 eV per atom

Lattice parameters (Å, degrees): 2.7386 3.2209 8.3450 90.00 90.00 90.00
Space group Pmmm (No. 47)
Unique sites:
Co: 0.0000 0.0000 0.0000 (multiplicity 1)
As: 0.5000 0.5000 0.1614 (multiplicity 2)
Br: 0.0000 0.0000 0.5000 (multiplicity 1)